Cr2AsIrW: single point on PBEsol structure, SCAN.

Results
Energy ... -191.88 eV for the cell shown
DOS at the Fermi energy ... 4.29 states/eV per cell
Calculated formation energy ... 1.174 eV per atom

Cell lengths 4.625, 4.625, 4.725 Å; angles 90.00, 90.00, 90.00 degrees
Fractional positions:
Cr 0.000 0.500 0.000
Cr 0.500 0.000 0.000
Ir 0.000 0.000 0.000
W 0.000 0.000 0.500
As 0.500 0.500 0.500

***

K2Cr2AsO10: single point on PBEsol structure, SCAN.

Results
Energy ... -483.70 eV for the cell shown
DOS at the Fermi energy ... 9.10 states/eV per cell
Energy relative to the elements, uncorrected ... -1.687 eV per atom

Cell lengths 7.668, 7.668, 14.106 Å; angles 90.00, 90.00, 120.00 degrees
Fractional positions:
K 0.999 0.572 0.171
K 0.428 0.427 0.505
K 0.628 0.999 0.338
K 0.573 0.001 0.838
K 0.001 0.628 0.671
K 0.372 0.372 0.004
Cr 0.006 0.578 0.430
Cr 0.579 0.004 0.578
Cr 0.422 0.428 0.764
Cr 0.425 0.421 0.245
Cr 0.996 0.575 0.912
Cr 0.572 0.994 0.097
As 0.890 0.890 0.005
As 0.110 0.999 0.338
As 0.001 0.110 0.672
O 0.603 0.464 0.171
O 0.761 0.167 0.154
O 0.934 0.910 0.250
O 0.183 0.352 0.706
O 0.094 0.500 0.992
O 0.831 0.649 0.970
O 0.536 0.139 0.505
O 0.818 0.169 0.636
O 0.169 0.817 0.372
O 0.648 0.831 0.039
O 0.977 0.066 0.917
O 0.236 0.404 0.188
O 0.911 0.937 0.760
O 0.167 0.764 0.855
O 0.141 0.536 0.504
O 0.833 0.594 0.487
O 0.026 0.089 0.427
O 0.500 0.594 0.325
O 0.596 0.833 0.521
O 0.090 0.023 0.584
O 0.396 0.859 0.171
O 0.596 0.504 0.684
O 0.063 0.974 0.094
O 0.861 0.397 0.838
O 0.909 0.404 0.351
O 0.406 0.906 0.658
O 0.406 0.239 0.820
O 0.496 0.091 0.017
O 0.464 0.604 0.838
O 0.351 0.182 0.303